Here is a relaxed Cs2CdCoCl6 crystal from Alexandria via LeMat-Bulk. Energies are from PBE.

Cell and atoms, written as extended XYZ:
```
10
Lattice="-3.6521 3.6521 5.1632 3.6521 -3.6521 5.1632 3.6521 3.6521 -5.1632" Properties=species:S:1:pos:R:3 pbc="T T T"
Cs 3.6521 0.0000 2.5816
Cs 0.0000 3.6521 2.5816
Cd 0.0000 0.0000 0.0000
Co 0.0000 0.0000 5.1632
Cl 0.0000 0.0000 2.6771
Cl 1.9016 1.9016 0.0000
Cl 1.7505 -1.7505 5.1632
Cl -1.7505 1.7505 5.1632
Cl 1.7505 1.7505 5.1632
Cl 0.0000 0.0000 7.6493
```

Summary:
The calculation puts the density of states at the Fermi level at 1.088 states/eV/atom. The formation energy without anion corrections comes out at -1.274 eV/atom.

Here is a relaxed CdFeCo2Cl crystal from Alexandria via LeMat-Bulk. Energies are from PBE.

Cell and atoms, written as extended XYZ:
```
5
Lattice="4.5388 0.0000 0.0000 0.0000 4.5388 0.0000 0.0000 0.0000 4.2734" Properties=species:S:1:pos:R:3 pbc="T T T"
Cd 0.0000 0.0000 0.0000
Fe 2.2694 2.2694 2.1367
Co 0.0000 2.2694 2.1367
Co 2.2694 0.0000 2.1367
Cl 2.2694 2.2694 0.0000
```

Summary:
The calculation puts the density of states at the Fermi level at 1.089 states/eV/atom. The formation energy without anion corrections comes out at 0.831 eV/atom.

Here is a relaxed KCdCo2Cl8 crystal from Alexandria via LeMat-Bulk. Energies are from PBE.

Cell and atoms, written as extended XYZ:
```
12
Lattice="3.1985 1.8467 9.3308 -3.1985 1.8467 9.3308 0.0000 -3.6933 9.3308" Properties=species:S:1:pos:R:3 pbc="T T T"
K 0.0000 0.0000 0.0000
Cd 0.0000 0.0000 13.9963
Co 0.0000 0.0000 6.9206
Co 0.0000 0.0000 21.0719
Cl -1.0755 -1.8737 12.4130
Cl -2.1604 -0.0055 15.5795
Cl 0.0000 0.0000 9.0983
Cl -1.0849 1.8682 12.4130
Cl 1.0849 -1.8682 15.5795
Cl 0.0000 0.0000 18.8942
Cl 2.1604 0.0055 12.4130
Cl 1.0755 1.8737 15.5795
```

Summary:
The calculation puts the density of states at the Fermi level at 1.045 states/eV/atom. The formation energy without anion corrections comes out at -0.903 eV/atom.

Here is a relaxed KCdCoCl5 crystal from Alexandria via LeMat-Bulk. Energies are from PBE.

Cell and atoms, written as extended XYZ:
```
16
Lattice="4.4262 -5.8895 0.0000 4.4262 5.8895 0.0000 -3.6671 0.0000 8.6538" Properties=species:S:1:pos:R:3 pbc="T T T"
K 1.6759 4.0972 6.4903
K 3.5095 -4.0972 2.1634
Cd 4.4262 0.0000 0.0000
Cd 2.5927 0.0000 4.3269
Co 3.5095 3.7092 2.1634
Co 1.6759 -3.7092 6.4903
Cl -1.8346 0.8400 8.0744
Cl 2.0030 2.4386 3.2815
Cl -0.0010 -0.8400 3.7475
Cl 5.0160 2.4386 1.0454
Cl 1.6759 0.9904 6.4903
Cl 3.5095 -0.9904 2.1634
Cl 0.1694 -2.4386 7.6084
Cl 5.1864 0.8400 4.9063
Cl 3.1824 -2.4386 5.3723
Cl 7.0199 -0.8400 0.5794
```

Summary:
The formation energy without anion corrections comes out at -1.113 eV/atom.